An optimized crystal structure of MgIrS2N. Source: Alexandria, functional PBE.

a = 4.9227 Å, b = 4.9227 Å, c = 3.6505 Å
α = 90.00°, β = 90.00°, γ = 90.00°
Fractional positions:
N1 0.0000 0.0000 0.5000
S1 0.0000 0.5000 0.0000
Ir1 0.0000 0.0000 0.0000
S2 0.5000 0.0000 0.0000
Mg1 0.5000 0.5000 0.5000

* space group: No. 123
* energy relative to the elements, uncorrected: 0.3 eV per formula unit
* calculated volume: 17.7 A^3/atom
* energy above the lowest structure with this stoichiometry: 0.0 kJ/mol of formula units
* total magnetic moment: 0.00 μB/cell